Below is an optimized crystal structure of CaMnF3, with properties calculated at the PBE with a Hubbard U level.

Lattice parameters (Å, degrees): 4.4659 4.4659 4.4659 90.00 90.00 90.00
Last column: nearest neighbours and their distance in Å.
Space group Pm-3m (No. 221)
Symmetry-distinct sites (fractional):
Ca 0.0000 0.0000 0.0000 [1 per cell]  6 F 2.23
Mn 0.5000 0.5000 0.5000 [1 per cell]  12 F 3.16
F 0.0000 0.0000 0.5000 [3 per cell]  2 Ca 2.23

- V (Å³ per atom) = 17.814
- final energy (Ha/atom) = -0.206
- offset from the most stable computed form (eV per formula unit) = 0.00